No. 1
Below is crystalline BaCaMo at its relaxed geometry, with properties calculated at the GGA-PBE level.

a = 3.618 Å, b = 3.618 Å, c = 8.513 Å
α = 90.00°, β = 90.00°, γ = 120.00°
Site moments in Bohr magnetons follow the coordinates.
Sites, in units of the cell vectors:
Ba 0.000 0.000 0.947  0.00
Ca 0.667 0.333 0.393  0.01
Mo 0.333 0.667 0.659  1.42

Computed properties:
**N(E_F)**: 2.6 states/eV/f.u.
**DFT formation energy**: 1.043 eV/atom
**Mass density**: 4.70 g cm⁻³
**Offset from the most stable computed form**: 71.5 meV/atom
**Symmetry**: P3m1 (156)

=====

No. 2
Below is crystalline SrThSb2 at its relaxed geometry, with properties calculated at the GGA-PBE level.

a = 4.589 Å, b = 4.589 Å, c = 8.340 Å
α = 74.03°, β = 74.03°, γ = 60.00°
Sites, in units of the cell vectors:
Sb 0.076 0.076 0.771
Th 0.668 0.668 0.995
Sb 0.258 0.258 0.226
Sr 0.498 0.498 0.507

Computed properties:
**N(E_F)**: 0.2 states/eV/f.u.
**Formation energy (no corrections)**: -0.950 eV per atom
**Mass density**: 6.48 g cm⁻³
**Offset from the most stable computed form**: 68.6 meV/atom
**Symmetry**: R3m (160)

=====

No. 3
Below is crystalline LaThPt6 at its relaxed geometry, with properties calculated at the GGA-PBE level.

a = 4.232 Å, b = 4.232 Å, c = 8.461 Å
α = 90.00°, β = 90.00°, γ = 90.00°
Sites, in units of the cell vectors:
La 0.000 0.000 0.000
Pt 0.000 0.500 0.746
Pt 0.500 0.000 0.254
Pt 0.500 0.500 0.500
Th 0.000 0.000 0.500
Pt 0.500 0.000 0.746
Pt 0.500 0.500 0.000
Pt 0.000 0.500 0.254

Computed properties:
**N(E_F)**: 0.4 states/eV/f.u.
**DFT formation energy**: -1.028 eV/atom
**Mass density**: 16.89 g cm⁻³
**Symmetry**: P4/mmm (123)

=====

No. 4
Below is crystalline TbDy3Th4Se8 at its relaxed geometry, with properties calculated at the GGA-PBE level.

a = 8.089 Å, b = 8.490 Å, c = 8.089 Å
α = 118.45°, β = 120.00°, γ = 90.00°
Sites, in units of the cell vectors:
Th 0.000 0.000 0.000
Se 0.245 0.734 0.490
Se 0.744 0.734 0.989
Th 0.500 0.000 0.500
Se 0.755 0.266 0.011
Tb 0.000 0.500 0.000
Se 0.755 0.266 0.510
Th 0.500 0.000 0.000
Th 0.000 0.000 0.500
Dy 0.500 0.500 0.000
Se 0.745 0.734 0.489
Se 0.245 0.734 0.989
Dy 0.000 0.500 0.500
Se 0.256 0.266 0.011
Dy 0.500 0.500 0.500
Se 0.255 0.266 0.511

Computed properties:
**N(E_F)**: 5.8 states/eV/f.u.
**Formation energy (no corrections)**: -1.648 eV per atom
**Mass density**: 9.12 g cm⁻³
**Symmetry**: R-3m (166)

=====

No. 5
Below is crystalline Bi2MoP2 at its relaxed geometry, with properties calculated at the GGA-PBE level.

a = 4.271 Å, b = 4.271 Å, c = 7.619 Å
α = 73.72°, β = 73.72°, γ = 90.00°
Site moments in Bohr magnetons follow the coordinates.
Sites, in units of the cell vectors:
P 0.576 0.576 0.848  -0.06
Mo 0.000 0.000 0.000  3.33
Bi 0.250 0.750 0.500  0.02
P 0.424 0.424 0.152  -0.06
Bi 0.750 0.250 0.500  0.02

Computed properties:
**N(E_F)**: 3.5 states/eV/f.u.
**DFT formation energy**: 1.044 eV/atom
**Mass density**: 7.49 g cm⁻³
**Offset from the most stable computed form**: 856.7 meV/atom
**Symmetry**: I4/mmm (139)

=====

No. 6
Below is crystalline Ti2I2N at its relaxed geometry, with properties calculated at the GGA-PBE level.

a = 7.541 Å, b = 7.541 Å, c = 3.476 Å
α = 90.00°, β = 90.00°, γ = 90.00°
Sites, in units of the cell vectors:
N 0.000 0.000 0.000
I 0.349 0.849 0.000
I 0.849 0.651 0.000
Ti 0.850 0.350 0.500
Ti 0.350 0.150 0.500
Ti 0.650 0.850 0.500
Ti 0.150 0.650 0.500
N 0.500 0.500 0.000
I 0.651 0.151 0.000
I 0.151 0.349 0.000

Computed properties:
**N(E_F)**: 6.7 states/eV/f.u.
**Formation energy (no corrections)**: 1.040 eV per atom
**Mass density**: 6.11 g cm⁻³
**Offset from the most stable computed form**: 310.8 meV/atom
**Symmetry**: P4/mbm (127)

=====

No. 7
Below is crystalline Tb2Sm3Tm6Pu at its relaxed geometry, with properties calculated at the GGA-PBE level.

a = 6.115 Å, b = 6.115 Å, c = 11.594 Å
α = 95.05°, β = 95.05°, γ = 120.00°
Site moments in Bohr magnetons follow the coordinates.
Sites, in units of the cell vectors:
Tb 0.667 0.333 0.000  0.07
Tm 0.918 0.589 0.754  0.06
Tm 0.082 0.411 0.246  0.06
Tm 0.753 0.753 0.246  0.06
Tm 0.247 0.247 0.754  0.06
Pu 0.000 0.000 0.000  5.57
Tm 0.411 0.082 0.246  0.06
Sm 0.167 0.833 0.500  -0.02
Sm 0.500 0.500 0.500  -0.03
Tm 0.589 0.918 0.754  0.06
Tb 0.333 0.667 0.000  0.07
Sm 0.833 0.167 0.500  -0.02

Computed properties:
**N(E_F)**: 22.4 states/eV/f.u.
**DFT formation energy**: 0.041 eV/atom
**Mass density**: 9.11 g cm⁻³
**Symmetry**: C2/m (12)

=====

No. 8
Below is crystalline GdPuHg2 at its relaxed geometry, with properties calculated at the GGA-PBE level.

a = 3.724 Å, b = 5.363 Å, c = 5.363 Å
α = 90.00°, β = 90.00°, γ = 90.00°
Site moments in Bohr magnetons follow the coordinates.
Sites, in units of the cell vectors:
Hg 0.000 0.000 0.500  -0.03
Pu 0.500 0.500 0.500  -5.60
Hg 0.000 0.500 0.000  -0.03
Gd 0.500 0.000 0.000  7.02

Computed properties:
**N(E_F)**: 10.2 states/eV/f.u.
**DFT formation energy**: -0.299 eV/atom
**Mass density**: 12.44 g cm⁻³
**Offset from the most stable computed form**: 0.0 meV/atom
**Symmetry**: P4/mmm (123)

=====

Number 1: VASP energy -11.6 eV/cell. Number 2: VASP energy -21.1 eV/cell. Number 3: VASP energy -56.8 eV/cell. Number 4: VASP energy -102.4 eV/cell. Number 5: VASP energy -24.2 eV/cell. Number 6: VASP energy -44.0 eV/cell. Number 7: VASP energy -64.1 eV/cell. Number 8: VASP energy -30.2 eV/cell.